1.
! FeTcAs2 | the Alexandria database | PBEsol | relaxed; values from VASP
&SYSTEM
  ibrav = 0, nat = 4, ntyp = 3
/
ATOMIC_SPECIES
Fe 55.84 Fe.upf
Tc 98.00 Tc.upf
As 74.92 As.upf
ATOMIC_POSITIONS crystal
Fe 0.0000 0.0000 0.0000
Tc 0.5000 0.5000 0.0000
As 0.2323 0.7323 0.5000
As 0.7677 0.2677 0.5000
CELL_PARAMETERS angstrom
-1.6302 2.3254 3.7250
1.6302 -2.3254 3.7250
1.6302 2.3254 -3.7250
! Space group: Immm
! Size of the total moment in μB/f.u.: 2.275
! Polymorph energy (0 for the lowest one) in meV per atom: 279


2.
! CdTeRu2 | the Alexandria database | PBEsol | relaxed; values from VASP
&SYSTEM
  ibrav = 0, nat = 4, ntyp = 3
/
ATOMIC_SPECIES
Cd 112.41 Cd.upf
Te 127.60 Te.upf
Ru 101.07 Ru.upf
ATOMIC_POSITIONS crystal
Cd 0.0000 0.0000 0.0000
Te 0.5000 0.5000 0.6124
Ru 0.0000 0.0000 0.4034
Ru 0.5000 0.5000 0.2300
CELL_PARAMETERS angstrom
2.9066 0.0000 0.0000
0.0000 3.6160 0.0000
0.0000 0.0000 7.1712
! Space group: Pmm2
! Energy relative to the elements, uncorrected in eV per atom: 0.34
! Size of the total moment in μB/f.u.: 0.000
! Polymorph energy (0 for the lowest one) in meV per atom: 0


3.
! BeInBi3 | the Alexandria database | PBEsol | relaxed; values from VASP
&SYSTEM
  ibrav = 0, nat = 5, ntyp = 3
/
ATOMIC_SPECIES
Be 9.01 Be.upf
In 114.82 In.upf
Bi 208.98 Bi.upf
ATOMIC_POSITIONS crystal
Be 0.0000 0.0000 0.0000
In 0.5000 0.5000 0.5000
Bi 0.0000 0.5000 0.5000
Bi 0.5000 0.0000 0.5000
Bi 0.5000 0.5000 0.0000
CELL_PARAMETERS angstrom
5.6585 0.0000 0.0000
0.0000 5.6585 0.0000
0.0000 0.0000 5.6585
! Space group: Pm-3m
! Size of the total moment in μB/f.u.: 0.001


4.
! AlHgI2N | the Alexandria database | PBEsol | relaxed; values from VASP
&SYSTEM
  ibrav = 0, nat = 5, ntyp = 4
/
ATOMIC_SPECIES
Al 26.98 Al.upf
Hg 200.59 Hg.upf
I 126.90 I.upf
N 14.01 N.upf
ATOMIC_POSITIONS crystal
Al 0.0000 0.0000 0.0000
Hg 0.5000 0.5000 0.5000
I 0.0000 0.5000 0.5000
I 0.5000 0.0000 0.5000
N 0.5000 0.5000 0.0000
CELL_PARAMETERS angstrom
6.0496 0.0000 0.0000
0.0000 6.0496 0.0000
0.0000 0.0000 4.0989
! Space group: P4/mmm
! Energy relative to the elements, uncorrected in eV per atom: 0.84
! Size of the total moment in μB/f.u.: 1.848


We obtain DOS at the Fermi energy values of 4.37 2.91 4.90 1.42 states/eV/f.u. for the records listed above, in that order.
We obtain total energy values of -29.385 -23.690 -13.532 -12.513 eV/cell for the records listed above, in that order.